No. 1
# Re3TeP PBE relaxed
# VASP energy, eV per atom: -8.10
# Energy above the lowest structure with this stoichiometry, eV per formula unit: 0.00
data_Re3TeP
_chemical_formula_sum 'Re3 Te1 P1'
_cell_length_a 4.477
_cell_length_b 4.477
_cell_length_c 4.477
_cell_angle_alpha 90.00
_cell_angle_beta 90.00
_cell_angle_gamma 90.00
_space_group_name_H-M_alt 'P m -3 m'
_space_group_IT_number 221
_space_group_name_Hall '-P 4 2 3'
loop_
_atom_site_label
_atom_site_type_symbol
_atom_site_fract_x
_atom_site_fract_y
_atom_site_fract_z
Re1 Re 0.000 0.000 0.500
Te1 Te 0.500 0.500 0.500
P1 P 0.000 0.000 0.000



No. 2
# Ba2TiTc3O12 PBE relaxed
# VASP energy, eV per atom: -7.62
data_Ba2TiTc3O12
_chemical_formula_sum 'Ba6 Ti3 Tc9 O36'
_cell_length_a 7.3112
_cell_length_b 7.3112
_cell_length_c 17.6044
_cell_angle_alpha 90.00
_cell_angle_beta 90.00
_cell_angle_gamma 120.00
_space_group_name_H-M_alt 'R -3 m'
_space_group_IT_number 166
_space_group_name_Hall '-R 3 2"'
loop_
_atom_site_label
_atom_site_type_symbol
_atom_site_fract_x
_atom_site_fract_y
_atom_site_fract_z
Ba1 Ba 0.0000 0.0000 0.1694
Ti1 Ti 0.0000 0.0000 0.5000
Tc1 Tc 0.0000 0.5000 0.0000
O1 O 0.0731 0.5365 0.1064
O2 O 0.0823 0.5411 0.3581



No. 3
# TbPr3Dy3Se8 PBE relaxed
# VASP energy, eV per atom: -5.90
data_TbPr3Dy3Se8
_chemical_formula_sum 'Tb3 Pr9 Dy9 Se24'
_cell_length_a 8.2636
_cell_length_b 8.2636
_cell_length_c 20.5708
_cell_angle_alpha 90.00
_cell_angle_beta 90.00
_cell_angle_gamma 120.00
_space_group_name_H-M_alt 'R -3 m'
_space_group_IT_number 166
_space_group_name_Hall '-R 3 2"'
loop_
_atom_site_label
_atom_site_type_symbol
_atom_site_fract_x
_atom_site_fract_y
_atom_site_fract_z
Tb1 Tb 0.0000 0.0000 0.0000
Pr1 Pr 0.0000 0.5000 0.5000
Dy1 Dy 0.0000 0.5000 0.0000
Se1 Se 0.0000 0.0000 0.2554
Se2 Se 0.0070 0.5035 0.2537



Uncorrected formation energy for every record listed, in sequence, given in meV/atom: 1084 -1937 -1857.
Magnetic moment for every record listed, in sequence, given in μB per cell: 0.001 15.059 0.000.